Computed, not measured: an optimized crystal structure of TaCdHg2 at the PBE level of DFT.

Results
Formation enthalpy at 0 K in eV per formula unit: 1.30
Fermi-level density of states in states/eV per cell: 3.4
Magnetic moment in μB per formula unit: 0.000
Space group: No. 166

a b c (Å): 10.299 10.299 10.299
angles (deg): 17.24 17.24 17.24
Fractional positions:
1 Cd 0.750 0.750 0.750
2 Hg 0.996 0.996 0.996
3 Hg 0.504 0.504 0.504
4 Ta 0.250 0.250 0.250

Computed, not measured: an optimized crystal structure of Ac6Ir2AuSe3 at the PBE level of DFT.

Results
Fermi-level density of states in states/eV per cell: 6.9
Magnetic moment in μB per formula unit: 0.000
Space group: No. 12
Energy relative to the elements, uncorrected in eV/atom: -1.30

a b c (Å): 7.581 7.581 8.139
angles (deg): 98.95 98.95 120.02
Fractional positions:
1 Ac 0.924 0.572 0.773
2 Ac 0.724 0.724 0.227
3 Ac 0.076 0.428 0.227
4 Ac 0.572 0.924 0.773
5 Ac 0.276 0.276 0.773
6 Ac 0.428 0.076 0.227
7 Ir 0.333 0.667 0.000
8 Ir 0.667 0.333 0.000
9 Au 0.000 0.000 0.000
10 Se 0.164 0.836 0.500
11 Se 0.836 0.164 0.500
12 Se 0.500 0.500 0.500

Computed, not measured: an optimized crystal structure of CrAgSeN2 at the PBE level of DFT.

Results
Fermi-level density of states in states/eV per cell: 7.2
Magnetic moment in μB per formula unit: 0.534
Space group: No. 123
Energy relative to the elements, uncorrected in eV/atom: 2.26
Energy relative to the lowest polymorph listed for this composition in eV per atom: 1.7768

a b c (Å): 3.951 3.951 5.394
angles (deg): 90.00 90.00 90.00
Fractional positions:
1 Cr 0.500 0.500 0.500
2 Se 0.000 0.000 0.500
3 Ag 0.000 0.000 0.000
4 N 0.000 0.500 0.000
5 N 0.500 0.000 0.000

Computed, not measured: an optimized crystal structure of Sr2CrP3Pt12 at the PBE level of DFT.

Results
Formation enthalpy at 0 K in eV per formula unit: -5.74
Fermi-level density of states in states/eV per cell: 8.3
Magnetic moment in μB per formula unit: 3.085
Space group: No. 166

a b c (Å): 7.772 7.772 7.772
angles (deg): 64.20 64.20 64.20
Fractional positions:
1 Sr 0.610 0.610 0.610
2 Sr 0.390 0.390 0.390
3 Cr 0.000 0.000 0.000
4 P 0.500 0.000 0.000
5 P 0.000 0.500 0.000
6 P 0.000 0.000 0.500
7 Pt 0.340 0.340 0.905
8 Pt 0.881 0.881 0.368
9 Pt 0.368 0.881 0.881
10 Pt 0.905 0.340 0.340
11 Pt 0.881 0.368 0.881
12 Pt 0.340 0.905 0.340
13 Pt 0.660 0.660 0.095
14 Pt 0.119 0.119 0.632
15 Pt 0.632 0.119 0.119
16 Pt 0.095 0.660 0.660
17 Pt 0.119 0.632 0.119
18 Pt 0.660 0.095 0.660

Computed, not measured: an optimized crystal structure of SiHg2Bi at the PBE level of DFT.

Results
Fermi-level density of states in states/eV per cell: 4.9
Magnetic moment in μB per formula unit: 0.000
Space group: No. 122
Energy relative to the elements, uncorrected in eV/atom: 0.34
Energy relative to the lowest polymorph listed for this composition in eV per atom: 0.0000

a b c (Å): 8.091 8.091 6.487
angles (deg): 51.41 51.41 90.00
Fractional positions:
1 Si 0.500 0.500 0.000
2 Si 0.250 0.750 0.500
3 Bi 0.000 0.000 0.000
4 Bi 0.750 0.250 0.500
5 Hg 0.584 0.125 0.250
6 Hg 0.166 0.625 0.250
7 Hg 0.375 0.416 0.750
8 Hg 0.875 0.834 0.750

Computed, not measured: an optimized crystal structure of HfAuBr3 at the PBE level of DFT.

Results
Fermi-level density of states in states/eV per cell: 5.5
Magnetic moment in μB per formula unit: 0.000
Space group: No. 221
Energy relative to the elements, uncorrected in eV/atom: -0.33
Energy relative to the lowest polymorph listed for this composition in eV per atom: 0.0000

a b c (Å): 5.243 5.243 5.243
angles (deg): 90.00 90.00 90.00
Fractional positions:
1 Hf 0.000 0.000 0.000
2 Au 0.500 0.500 0.500
3 Br 0.000 0.500 0.000
4 Br 0.000 0.000 0.500
5 Br 0.500 0.000 0.000

Computed, not measured: an optimized crystal structure of FeTcAu2 at the PBE level of DFT.

Results
Formation enthalpy at 0 K in eV per formula unit: 1.86
Fermi-level density of states in states/eV per cell: 6.5
Magnetic moment in μB per formula unit: 3.219
Space group: No. 216
Energy relative to the lowest polymorph listed for this composition in eV per atom: 0.2896

a b c (Å): 4.481 4.481 4.481
angles (deg): 60.00 60.00 60.00
Fractional positions:
1 Au 0.000 0.000 0.000
2 Au 0.750 0.750 0.750
3 Fe 0.500 0.500 0.500
4 Tc 0.250 0.250 0.250

Computed, not measured: an optimized crystal structure of YOsAu2 at the PBE level of DFT.

Results
Formation enthalpy at 0 K in eV per formula unit: -0.04
Fermi-level density of states in states/eV per cell: 3.3
Magnetic moment in μB per formula unit: 0.573
Space group: No. 99
Energy relative to the lowest polymorph listed for this composition in eV per atom: 0.1276

a b c (Å): 3.580 3.580 6.031
angles (deg): 90.00 90.00 90.00
Fractional positions:
1 Au 0.000 0.000 0.013
2 Au 0.500 0.500 0.263
3 Os 0.000 0.000 0.479
4 Y 0.500 0.500 0.745

Computed, not measured: an optimized crystal structure of Ce2CuAs4Ir3 at the PBE level of DFT.

Results
Formation enthalpy at 0 K in eV per formula unit: -7.20
Fermi-level density of states in states/eV per cell: 8.3
Magnetic moment in μB per formula unit: 0.490
Space group: No. 115

a b c (Å): 4.364 4.364 9.732
angles (deg): 90.00 90.00 90.00
Fractional positions:
1 Ce 0.500 0.000 0.249
2 Ce 0.000 0.500 0.751
3 Cu 0.500 0.500 0.500
4 As 0.500 0.500 0.000
5 As 0.000 0.000 0.000
6 As 0.500 0.000 0.631
7 As 0.000 0.500 0.369
8 Ir 0.000 0.000 0.500
9 Ir 0.500 0.000 0.882
10 Ir 0.000 0.500 0.118

Please write out number 1 again, unchanged.
Computed, not measured: an optimized crystal structure of TaCdHg2 at the PBE level of DFT.

Results
Formation enthalpy at 0 K in eV per formula unit: 1.30
Fermi-level density of states in states/eV per cell: 3.4
Magnetic moment in μB per formula unit: 0.000
Space group: No. 166

a b c (Å): 10.299 10.299 10.299
angles (deg): 17.24 17.24 17.24
Fractional positions:
1 Cd 0.750 0.750 0.750
2 Hg 0.996 0.996 0.996
3 Hg 0.504 0.504 0.504
4 Ta 0.250 0.250 0.250